UCdOs: relaxed, PBE-GGA.

Summary:
**Raw total energy**: -80.93 eV per cell
**Energy above the lowest structure with this stoichiometry**: 587 meV per atom
**Formation energy from the elements**: 1061 meV/atom

Cell: 6.611 6.611 6.611 Å, 90.00 90.00 90.00°
Fractional coordinates of all 12 atoms:
1 U 0.000 0.000 0.000
2 U 0.000 0.500 0.500
3 U 0.500 0.000 0.500
4 U 0.500 0.500 0.000
5 Cd 0.250 0.250 0.750
6 Cd 0.250 0.750 0.250
7 Cd 0.750 0.250 0.250
8 Cd 0.750 0.750 0.750
9 Os 0.250 0.250 0.250
10 Os 0.250 0.750 0.750
11 Os 0.750 0.250 0.750
12 Os 0.750 0.750 0.250